ScAlRh after structural relaxation. Source: Alexandria, functional PBE.

abc: 5.7474 5.7474 5.7474
angles: 148.94 148.94 44.51
Sites, in units of the cell vectors:
Sc 0.0000 0.0000 0.0000
Al 0.2963 0.2963 0.0000
Rh 0.6678 0.6678 0.0000

* E_form: -0.81 eV per atom


TmOF3 after structural relaxation. Source: Alexandria, functional PBE.

abc: 4.2107 7.0601 4.8814
angles: 90.00 101.90 90.00
Sites, in units of the cell vectors:
Tm 0.0733 0.2500 0.0967
Tm 0.9267 0.7500 0.9033
O 0.2067 0.2500 0.6214
O 0.7933 0.7500 0.3786
F 0.1450 0.5483 0.2418
F 0.1450 0.9517 0.2418
F 0.4046 0.7500 0.8151
F 0.5954 0.2500 0.1849
F 0.8550 0.0483 0.7582
F 0.8550 0.4517 0.7582

* formation energy from raw total energies: -2.733 eV per atom


BeAl2Ga after structural relaxation. Source: Alexandria, functional PBE.

abc: 9.7633 9.7633 9.7633
angles: 16.52 16.52 16.52
Sites, in units of the cell vectors:
Be 0.0000 0.0000 0.0000
Al 0.0836 0.0836 0.0836
Al 0.9164 0.9164 0.9164
Ga 0.5000 0.5000 0.5000

* E_form: 0.39 eV per atom


Mg2Fe2P after structural relaxation. Source: Alexandria, functional PBE.

abc: 5.6979 5.6979 4.3096
angles: 90.00 90.00 90.00
Sites, in units of the cell vectors:
Mg 0.1694 0.3306 0.0000
Mg 0.3306 0.8306 0.0000
Mg 0.6694 0.1694 0.0000
Mg 0.8306 0.6694 0.0000
Fe 0.1414 0.6414 0.5000
Fe 0.3586 0.1414 0.5000
Fe 0.6414 0.8586 0.5000
Fe 0.8586 0.3586 0.5000
P 0.0000 0.0000 0.5000
P 0.5000 0.5000 0.5000

* E_form: -0.22 eV per atom


TePbAu2 after structural relaxation. Source: Alexandria, functional PBE.

abc: 4.9180 4.5364 4.9613
angles: 90.00 108.46 90.00
Sites, in units of the cell vectors:
Te 0.0000 0.0000 0.0000
Pb 0.6441 0.5000 0.3550
Au 0.2155 0.5000 0.7849
Au 0.4203 0.0000 0.5776

* formation energy from raw total energies: -0.048 eV per atom
* ΔE to the lowest computed polymorph: 0.000 eV per atom


PrCd4Pd7 after structural relaxation. Source: Alexandria, functional PBE.

abc: 5.9145 5.9145 10.0772
angles: 117.98 117.98 51.53
Sites, in units of the cell vectors:
Pr 0.0000 0.0000 0.0000
Cd 0.2577 0.2577 0.6730
Cd 0.4174 0.4174 0.2331
Cd 0.5826 0.5826 0.7669
Cd 0.7423 0.7423 0.3270
Pd 0.0441 0.0441 0.3614
Pd 0.2168 0.2168 0.9186
Pd 0.3472 0.3472 0.4605
Pd 0.5000 0.5000 0.0000
Pd 0.6528 0.6528 0.5395
Pd 0.7832 0.7832 0.0814
Pd 0.9559 0.9559 0.6386

* E_form: -0.28 eV per atom


Record order is preserved below.
Calculated volume: 16.80, 14.20, 16.40, 13.99, 26.25, 19.63 Å³/atom